NdMg2Zr: relaxed, GGA-PBE.

Values from the calculation:
Polymorph energy (0 for the lowest one) in meV/atom: 84

a = 3.2376 Å, b = 3.2376 Å, c = 34.0592 Å
α = 90.00°, β = 90.00°, γ = 120.00°
Space group R-3m (No. 166, hexagonal axes)
Asymmetric unit:
Nd (0.0000, 0.0000, 0.0000) [3 per cell]
Mg (0.0000, 0.0000, 0.2451) [6 per cell]
Zr (0.0000, 0.0000, 0.5000) [3 per cell]



MnZnP: relaxed, GGA-PBE.

Values from the calculation:
Total energy in eV/cell: -15.92

a = 2.7964 Å, b = 2.7964 Å, c = 5.9810 Å
α = 90.00°, β = 90.00°, γ = 120.00°
Space group P3m1 (No. 156)
Asymmetric unit:
Mn (0.0000, 0.0000, 0.0000) [1 per cell]
Zn (0.3333, 0.6667, 0.6568) [1 per cell]
P (0.6667, 0.3333, 0.2562) [1 per cell]



CaAlS2N: relaxed, GGA-PBE.

Values from the calculation:
Raw formation energy in eV per atom: 0.6979
Polymorph energy (0 for the lowest one) in meV/atom: 1375

a = 5.3141 Å, b = 5.3141 Å, c = 4.5528 Å
α = 90.00°, β = 90.00°, γ = 90.00°
Space group P4/mmm (No. 123)
Asymmetric unit:
Ca (0.0000, 0.0000, 0.0000) [1 per cell]
Al (0.5000, 0.5000, 0.5000) [1 per cell]
S (0.0000, 0.5000, 0.0000) [2 per cell]
N (0.0000, 0.0000, 0.5000) [1 per cell]



Pm5CoTe4: relaxed, GGA-PBE.

Values from the calculation:
Raw formation energy in eV per atom: -1.1223

a = 9.8269 Å, b = 9.8269 Å, c = 6.2882 Å
α = 90.00°, β = 90.00°, γ = 90.00°
Space group I4/m (No. 87)
Asymmetric unit:
Pm (0.0000, 0.0000, 0.0000) [2 per cell]
Pm (0.0921, 0.2577, 0.5000) [8 per cell]
Co (0.0000, 0.0000, 0.5000) [2 per cell]
Te (0.0868, 0.3093, 0.0000) [8 per cell]



Tb4EuTm: relaxed, GGA-PBE.

Values from the calculation:
Total energy in eV/cell: -127.20

a = 9.4175 Å, b = 9.4175 Å, c = 9.4175 Å
α = 90.00°, β = 90.00°, γ = 90.00°
Space group F-43m (No. 216)
Asymmetric unit:
Tb (0.1232, 0.1232, 0.3768) [16 per cell]
Eu (0.0000, 0.0000, 0.0000) [4 per cell]
Tm (0.2500, 0.2500, 0.7500) [4 per cell]



LaMoSe2: relaxed, GGA-PBE.

Values from the calculation:
Raw formation energy in eV per atom: -0.3890
Polymorph energy (0 for the lowest one) in meV/atom: 487

a = 4.1259 Å, b = 4.1259 Å, c = 11.4843 Å
α = 90.00°, β = 90.00°, γ = 90.00°
Space group I-4m2 (No. 119)
Asymmetric unit:
La (0.0000, 0.0000, 0.0000) [2 per cell]
Mo (0.0000, 0.5000, 0.7500) [2 per cell]
Se (0.0000, 0.0000, 0.5000) [2 per cell]
Se (0.0000, 0.5000, 0.2500) [2 per cell]



RbCo2As2: relaxed, GGA-PBE.

Values from the calculation:
Total energy in eV/cell: -52.92

a = 3.8024 Å, b = 3.8024 Å, c = 14.4305 Å
α = 90.00°, β = 90.00°, γ = 90.00°
Space group I4/mmm (No. 139)
Asymmetric unit:
Rb (0.0000, 0.0000, 0.0000) [2 per cell]
Co (0.0000, 0.5000, 0.2500) [4 per cell]
As (0.0000, 0.0000, 0.3415) [4 per cell]



MnGePSN: relaxed, GGA-PBE.

Values from the calculation:
Raw formation energy in eV per atom: -0.0262
Polymorph energy (0 for the lowest one) in meV/atom: 133

a = 7.6951 Å, b = 3.0712 Å, c = 6.3354 Å
α = 90.00°, β = 92.09°, γ = 90.00°
Space group Cm (No. 8)
Asymmetric unit:
Mn (0.0000, 0.0000, 0.0000) [2 per cell]
Ge (0.2775, 0.0000, 0.5237) [2 per cell]
P (0.2110, 0.5000, 0.9272) [2 per cell]
S (0.0075, 0.5000, 0.2535) [2 per cell]
N (0.3491, 0.5000, 0.7162) [2 per cell]



InMo: relaxed, GGA-PBE.

Values from the calculation:
Polymorph energy (0 for the lowest one) in meV/atom: 153

a = 3.0286 Å, b = 4.2534 Å, c = 5.9940 Å
α = 90.00°, β = 99.80°, γ = 90.00°
Space group P2_1/m (No. 11)
Asymmetric unit:
In (0.2182, 0.2500, 0.3590) [2 per cell]
Mo (0.3334, 0.2500, 0.8961) [2 per cell]



TiOs3Au: relaxed, GGA-PBE.

Values from the calculation:
Polymorph energy (0 for the lowest one) in meV/atom: 0

a = 4.5432 Å, b = 4.5432 Å, c = 4.5432 Å
α = 90.00°, β = 90.00°, γ = 90.00°
Space group Pm-3m (No. 221)
Asymmetric unit:
Ti (0.0000, 0.0000, 0.0000) [1 per cell]
Os (0.0000, 0.0000, 0.5000) [3 per cell]
Au (0.5000, 0.5000, 0.5000) [1 per cell]



TlTe2SeI: relaxed, GGA-PBE.

Values from the calculation:
Raw formation energy in eV per atom: 0.7562
Polymorph energy (0 for the lowest one) in meV/atom: 638

a = 5.8588 Å, b = 5.8588 Å, c = 6.1842 Å
α = 90.00°, β = 90.00°, γ = 90.00°
Space group P4/mmm (No. 123)
Asymmetric unit:
Tl (0.0000, 0.0000, 0.0000) [1 per cell]
Te (0.0000, 0.5000, 0.0000) [2 per cell]
Se (0.5000, 0.5000, 0.5000) [1 per cell]
I (0.0000, 0.0000, 0.5000) [1 per cell]



Tm2UPbO8: relaxed, GGA-PBE.

Values from the calculation:
Raw formation energy in eV per atom: -2.7720

a = 6.9521 Å, b = 7.2518 Å, c = 6.9569 Å
α = 90.00°, β = 90.00°, γ = 90.00°
Space group Cmmm (No. 65)
Asymmetric unit:
Tm (0.0000, 0.0000, 0.2483) [4 per cell]
U (0.0000, 0.5000, 0.5000) [2 per cell]
Pb (0.0000, 0.5000, 0.0000) [2 per cell]
O (0.0000, 0.3097, 0.2669) [8 per cell]
O (0.1998, 0.0000, 0.0000) [4 per cell]
O (0.2035, 0.0000, 0.5000) [4 per cell]



MnAu3Br: relaxed, GGA-PBE.

Values from the calculation:
Raw formation energy in eV per atom: 1.0703
Polymorph energy (0 for the lowest one) in meV/atom: 0

a = 4.8624 Å, b = 4.8624 Å, c = 4.8624 Å
α = 90.00°, β = 90.00°, γ = 90.00°
Space group Pm-3m (No. 221)
Asymmetric unit:
Mn (0.0000, 0.0000, 0.0000) [1 per cell]
Au (0.0000, 0.0000, 0.5000) [3 per cell]
Br (0.5000, 0.5000, 0.5000) [1 per cell]



Ac2MgAl3Ga4: relaxed, GGA-PBE.

Values from the calculation:
Total energy in eV/cell: -37.53

a = 4.5497 Å, b = 4.5497 Å, c = 10.8694 Å
α = 90.00°, β = 90.00°, γ = 90.00°
Space group P-4m2 (No. 115)
Asymmetric unit:
Ac (0.0000, 0.5000, 0.2414) [2 per cell]
Mg (0.0000, 0.0000, 0.5000) [1 per cell]
Al (0.0000, 0.5000, 0.8753) [2 per cell]
Al (0.5000, 0.5000, 0.5000) [1 per cell]
Ga (0.0000, 0.0000, 0.0000) [1 per cell]
Ga (0.0000, 0.5000, 0.6385) [2 per cell]
Ga (0.5000, 0.5000, 0.0000) [1 per cell]



Ba5U2O12: relaxed, GGA-PBE.

Values from the calculation:
Raw formation energy in eV per atom: -2.6696

a = 12.9429 Å, b = 8.2852 Å, c = 7.8232 Å
α = 90.00°, β = 124.08°, γ = 90.00°
Space group C2/m (No. 12)
Asymmetric unit:
Ba (0.0000, 0.0000, 0.0000) [2 per cell]
Ba (0.1843, 0.5000, 0.9756) [4 per cell]
Ba (0.2299, 0.5000, 0.4896) [4 per cell]
U (0.0000, 0.2186, 0.5000) [4 per cell]
O (0.0094, 0.5000, 0.4175) [4 per cell]
O (0.0492, 0.2138, 0.2905) [8 per cell]
O (0.1113, 0.0000, 0.6539) [4 per cell]
O (0.1943, 0.3025, 0.7293) [8 per cell]



Mo3W2: relaxed, GGA-PBE.

Values from the calculation:
Polymorph energy (0 for the lowest one) in meV/atom: 259

a = 5.4207 Å, b = 8.9780 Å, c = 13.3868 Å
α = 90.00°, β = 90.00°, γ = 90.00°
Space group Fddd (No. 70, origin choice 2)
Asymmetric unit:
Mo (0.1250, 0.1250, 0.0253) [16 per cell]
Mo (0.1250, 0.1250, 0.6250) [8 per cell]
W (0.1250, 0.1250, 0.4248) [16 per cell]



Co2ReAu: relaxed, GGA-PBE.

Values from the calculation:
Polymorph energy (0 for the lowest one) in meV/atom: 465

a = 6.0476 Å, b = 6.0476 Å, c = 6.0476 Å
α = 90.00°, β = 90.00°, γ = 90.00°
Space group F-43m (No. 216)
Asymmetric unit:
Co (0.0000, 0.0000, 0.0000) [4 per cell]
Co (0.2500, 0.2500, 0.2500) [4 per cell]
Re (0.2500, 0.2500, 0.7500) [4 per cell]
Au (0.0000, 0.0000, 0.5000) [4 per cell]



BeCoCu2Re: relaxed, GGA-PBE.

Values from the calculation:
Total energy in eV/cell: -24.38

a = 4.3105 Å, b = 4.3105 Å, c = 4.2947 Å
α = 90.00°, β = 90.00°, γ = 90.00°
Space group P4/mmm (No. 123)
Asymmetric unit:
Be (0.0000, 0.0000, 0.0000) [1 per cell]
Co (0.5000, 0.5000, 0.5000) [1 per cell]
Cu (0.0000, 0.5000, 0.5000) [2 per cell]
Re (0.5000, 0.5000, 0.0000) [1 per cell]



Zr2VReAg: relaxed, GGA-PBE.

Values from the calculation:
Polymorph energy (0 for the lowest one) in meV/atom: 0

a = 4.6987 Å, b = 4.6987 Å, c = 4.7412 Å
α = 90.00°, β = 90.00°, γ = 90.00°
Space group P4/mmm (No. 123)
Asymmetric unit:
Zr (0.0000, 0.5000, 0.0000) [2 per cell]
V (0.0000, 0.0000, 0.0000) [1 per cell]
Re (0.5000, 0.5000, 0.5000) [1 per cell]
Ag (0.0000, 0.0000, 0.5000) [1 per cell]



CsSn2SbBr8: relaxed, GGA-PBE.

Values from the calculation:
Raw formation energy in eV per atom: -0.8574

a = 7.0394 Å, b = 7.3442 Å, c = 9.7844 Å
α = 83.35°, β = 84.31°, γ = 85.93°
Space group P-1 (No. 2)
Asymmetric unit:
Cs (0.0000, 0.0000, 0.0000) [1 per cell]
Sn (0.4669, 0.4804, 0.2506) [2 per cell]
Sb (0.0000, 0.0000, 0.5000) [1 per cell]
Br (0.2254, 0.3162, 0.4713) [2 per cell]
Br (0.2441, 0.8395, 0.6994) [2 per cell]
Br (0.2495, 0.8410, 0.2946) [2 per cell]
Br (0.2649, 0.3927, 0.0491) [2 per cell]



YRhCl3: relaxed, GGA-PBE.

Values from the calculation:
Raw formation energy in eV per atom: -0.7063
Polymorph energy (0 for the lowest one) in meV/atom: 0

a = 5.2503 Å, b = 5.2503 Å, c = 5.2503 Å
α = 90.00°, β = 90.00°, γ = 90.00°
Space group Pm-3m (No. 221)
Asymmetric unit:
Y (0.0000, 0.0000, 0.0000) [1 per cell]
Rh (0.5000, 0.5000, 0.5000) [1 per cell]
Cl (0.0000, 0.0000, 0.5000) [3 per cell]



TbAl2O4: relaxed, GGA-PBE.

Values from the calculation:
Raw formation energy in eV per atom: -2.6119
Polymorph energy (0 for the lowest one) in meV/atom: 183

a = 6.0160 Å, b = 6.4078 Å, c = 8.5207 Å
α = 90.00°, β = 90.00°, γ = 90.00°
Space group Imma (No. 74)
Asymmetric unit:
Tb (0.2500, 0.2500, 0.2500) [4 per cell]
Al (0.0000, 0.0000, 0.0000) [4 per cell]
Al (0.0000, 0.2500, 0.6442) [4 per cell]
O (0.0000, 0.0283, 0.7755) [8 per cell]
O (0.2446, 0.2500, 0.9847) [8 per cell]



NaGaBrCl: relaxed, GGA-PBE.

Values from the calculation:
Raw formation energy in eV per atom: -1.1144
Polymorph energy (0 for the lowest one) in meV/atom: 0

a = 4.1722 Å, b = 4.1722 Å, c = 22.0364 Å
α = 90.00°, β = 90.00°, γ = 120.00°
Space group R3m (No. 160, hexagonal axes)
Asymmetric unit:
Na (0.0000, 0.0000, 0.0000) [3 per cell]
Ga (0.0000, 0.0000, 0.1757) [3 per cell]
Br (0.0000, 0.0000, 0.4188) [3 per cell]
Cl (0.0000, 0.0000, 0.5998) [3 per cell]



MoAsW3: relaxed, GGA-PBE.

Values from the calculation:
Polymorph energy (0 for the lowest one) in meV/atom: 525

a = 4.7574 Å, b = 4.7574 Å, c = 4.7574 Å
α = 90.00°, β = 90.00°, γ = 90.00°
Space group Pm-3m (No. 221)
Asymmetric unit:
Mo (0.0000, 0.0000, 0.0000) [1 per cell]
As (0.5000, 0.5000, 0.5000) [1 per cell]
W (0.0000, 0.0000, 0.5000) [3 per cell]



Hf6HgPb2: relaxed, GGA-PBE.

Values from the calculation:
Total energy in eV/cell: -135.64

a = 9.6599 Å, b = 9.6599 Å, c = 4.3436 Å
α = 90.00°, β = 90.00°, γ = 90.00°
Space group P4_2/mnm (No. 136)
Asymmetric unit:
Hf (0.0048, 0.3377, 0.0000) [8 per cell]
Hf (0.1553, 0.8447, 0.5000) [4 per cell]
Hg (0.0000, 0.0000, 0.0000) [2 per cell]
Pb (0.1810, 0.1810, 0.5000) [4 per cell]